## P
First-principles (GGA-PBE) data for a geometry-optimized LiZnNi6 structure, as listed in Alexandria via LeMat-Bulk.

```
LiZnNi6
1.0
-4.0983 3.6950 2.7239
-0.1914 -5.5788 2.5902
6.9837 2.8463 6.6465
Li Ni Zn
4 24 4
Cartesian
4.0727 -1.1327 7.6083
2.1133 3.5184 7.6754
1.3518 0.4832 5.9848
4.8341 1.9024 9.2989
2.3388 -1.8290 5.9618
0.6754 1.5343 8.1552
3.7827 0.1472 5.4842
0.3868 2.8044 6.0286
2.8045 2.4693 5.5176
1.6536 -0.7878 8.1217
-0.3989 -0.2303 4.3186
2.0400 -0.5603 3.8167
1.0637 1.7572 3.8501
5.7991 -0.4187 9.2551
-2.8378 0.0997 4.8205
0.2766 -1.2790 2.1385
3.8472 4.2147 9.3219
-0.6997 1.0386 2.1719
-1.8614 -2.2179 4.7871
3.0930 1.1928 7.6419
5.5106 0.8514 7.1286
4.5323 3.1735 7.1620
1.7459 0.7116 1.6616
-0.0981 -1.4992 6.4653
-1.0744 0.8183 6.4988
5.2378 2.1347 4.9848
3.3815 -0.0836 9.7661
2.4032 2.2385 9.7995
0.5744 -2.5407 4.2853
-1.3722 2.0800 4.3519
3.5027 1.4276 3.3336
6.9729 2.8419 6.6361
```

- Calculated volume: 11.20 A^3/atom

## Q
First-principles (GGA-PBE) data for a geometry-optimized LiZnNi6 structure, as listed in Alexandria via LeMat-Bulk.

```
LiZnNi6
1.0
-2.2271 -3.6408 -2.6397
5.2601 -2.9602 4.4151
-6.8131 -1.1556 7.3422
Li Zn Ni
4 4 24
Cartesian
2.0680 -2.3842 1.5437
0.9650 -4.2169 0.2318
-6.2289 -2.6880 4.1927
-2.8114 -2.1084 0.5098
-1.3336 -2.9678 5.2185
-2.4466 -4.7889 3.8991
-5.1120 -0.8671 5.5089
-1.7012 -0.2885 1.8333
-3.0577 -3.2632 7.0807
-5.4926 -3.1196 6.5370
-3.4066 -5.5053 8.0972
-4.1752 -5.0791 5.7579
-6.5992 -4.9287 5.2254
-2.3000 -3.6962 9.4088
-4.5201 -2.3982 2.3513
-1.7101 -5.2149 6.2608
-4.8964 -4.6456 3.3937
0.3951 -2.6775 3.3597
-2.0701 -2.5417 2.8568
0.0075 -4.9236 4.4098
-0.7224 -4.4934 2.0370
-3.1788 -4.3543 1.5427
1.1163 -3.1110 5.7240
-1.1136 -1.8204 -1.3198
1.7124 -4.6370 2.5807
-1.4802 -4.0605 -0.2911
-3.4066 -0.5778 3.6711
-0.6013 -3.4024 7.5749
-3.7877 -2.8331 4.7078
0.0000 0.0000 0.0000
2.8190 -2.8279 3.8923
-0.3736 -2.2514 1.0205
```

- Calculated volume: 11.14 A^3/atom

## R
First-principles (GGA-PBE) data for a geometry-optimized LiZnNi6 structure, as listed in Alexandria via LeMat-Bulk.

```
LiZnNi6
1.0
-1.4023 -3.1038 -3.2999
2.7704 -3.6818 -1.1219
-2.3751 -5.7619 3.0212
Li Zn Ni
1 1 6
Cartesian
-0.5035 -6.2738 -0.7003
0.0000 0.0000 0.0000
-0.3305 -10.2854 -2.0963
0.3642 -8.7477 -0.4615
0.6959 -4.0862 0.1400
-1.3712 -3.7998 -0.9390
-0.6765 -2.2622 0.6958
-1.7030 -8.4614 -1.5406
```

- Calculated volume: 15.49 A^3/atom

Top of the stability list: Q, leading by 0.031 eV/atom.

## P
First-principles (GGA-PBE) data for a geometry-optimized LiZn3Ni2 structure, as listed in Alexandria via LeMat-Bulk.

```
LiZn3Ni2
1.0
2.8789 0.0000 0.0000
0.0000 2.8789 0.0000
0.0000 0.0000 9.2662
Li Zn Ni
1 3 2
Cartesian
1.4394 1.4394 4.6331
0.0000 0.0000 0.0000
0.0000 0.0000 6.3366
0.0000 0.0000 2.9297
1.4394 1.4394 7.7957
1.4394 1.4394 1.4705
```

- Calculated volume: 12.80 A^3/atom

## Q
First-principles (GGA-PBE) data for a geometry-optimized LiZn3Ni2 structure, as listed in Alexandria via LeMat-Bulk.

```
LiZn3Ni2
1.0
-1.1696 1.3861 -4.7283
-3.5733 -2.0315 0.2887
-3.1723 5.9283 2.4579
Li Zn Ni
2 6 4
Cartesian
-3.2740 3.9404 1.9157
-4.6412 1.3424 -3.8975
-4.0572 0.6501 -1.5330
-3.8580 4.6327 -0.4488
-2.1331 1.1429 -3.6643
-2.4084 2.1921 0.3154
-5.5068 3.0907 -2.2972
-5.7820 4.1399 1.6825
-4.9273 2.4037 0.0305
-1.5542 0.4546 -1.3362
-6.3610 4.8282 -0.6456
-2.9879 2.8791 -2.0122
```

- Calculated volume: 12.45 A^3/atom

Top of the stability list: Q, leading by 0.029 eV/atom.

## P
First-principles (GGA-PBE) data for a geometry-optimized Li3Zn2Ni structure, as listed in Alexandria via LeMat-Bulk.

```
Li3Zn2Ni
1.0
-2.8845 1.9535 2.1746
-3.3105 -8.1534 -0.9445
4.5563 2.0104 4.2377
Li Zn Ni
6 4 2
Cartesian
-0.3824 -3.1925 2.3607
-2.3625 -3.9451 4.2881
0.5540 0.8020 3.8921
-2.1926 -4.9915 1.5757
0.7239 -0.2444 1.1797
-1.2562 -0.9970 3.1072
2.3573 1.9929 5.2143
-3.9959 -6.1824 0.2536
-3.1718 -2.4460 1.8679
1.5332 -1.7434 3.5999
-0.3303 -2.0133 5.2483
-1.3083 -2.1761 0.2195
```

- Calculated volume: 14.96 A^3/atom

## Q
First-principles (GGA-PBE) data for a geometry-optimized Li3Zn2Ni structure, as listed in Alexandria via LeMat-Bulk.

```
Li3Zn2Ni
1.0
4.3310 0.0455 -0.9494
-1.0026 4.2136 -0.9494
0.0843 0.1079 8.7897
Li Zn Ni
6 4 2
Cartesian
0.4442 1.9509 2.8919
1.5849 3.4105 -0.3958
2.9685 2.4161 3.9990
1.8278 0.9565 7.2868
2.3507 1.6365 1.2481
1.0620 2.7305 5.6429
-0.1084 1.2304 0.3815
2.1504 4.1208 2.1147
3.5211 3.1366 6.5095
1.2623 0.2462 4.7763
-0.3229 3.7259 1.2481
3.7356 0.6411 5.6429
```

- Calculated volume: 13.47 A^3/atom

Top of the stability list: Q, leading by 0.021 eV/atom.

## P
First-principles (GGA-PBE) data for a geometry-optimized LiZn5Ni structure, as listed in Alexandria via LeMat-Bulk.

```
LiZn5Ni
1.0
-3.5285 -1.8316 1.2568
-0.9322 -0.9204 -3.9584
2.8916 -5.2071 0.5298
Li Zn Ni
1 5 1
Cartesian
1.4458 -2.6036 0.2649
1.7918 -4.5263 -1.5655
0.1675 -1.6012 -1.8631
0.4937 -4.9819 1.0421
-1.1306 -2.0568 0.7445
-0.7846 -3.9795 -1.0859
-2.2304 -1.3760 -1.3508
```

- Calculated volume: 14.85 A^3/atom

## Q
First-principles (GGA-PBE) data for a geometry-optimized LiZn5Ni structure, as listed in Alexandria via LeMat-Bulk.

```
LiZn5Ni
1.0
5.1003 -0.4984 0.4526
1.1454 4.9949 0.4526
2.7951 2.0123 8.7095
Li Zn Ni
2 10 2
Cartesian
4.6327 1.6247 2.6299
4.4081 4.8841 6.9847
4.7158 4.2381 2.7834
3.2464 3.4787 4.7374
6.9129 4.1338 7.1381
2.2000 5.0038 2.6299
6.1095 5.5399 9.2320
2.9313 0.9689 0.3826
6.8408 1.5050 6.9847
2.1279 2.3751 2.4765
5.7944 3.0302 4.8773
4.3250 2.2707 6.8312
0.0000 0.0000 0.0000
1.3976 1.0062 4.3547
```

- Calculated volume: 15.45 A^3/atom

Top of the stability list: P, leading by 0.055 eV/atom.